The following is a PBE-GGA calculation of an optimized crystal structure of Ca2TbPm2, from the Alexandria database.

Cell: 4.6298 4.6298 17.4639 Å, 90.00 90.00 90.00°
Fractional coordinates of all 10 atoms:
Ca: 0.0000 0.5000 0.2500
Ca: 0.0000 0.5000 0.7500
Ca: 0.5000 0.0000 0.2500
Ca: 0.5000 0.0000 0.7500
Tb: 0.0000 0.0000 0.0000
Tb: 0.5000 0.5000 0.5000
Pm: 0.0000 0.0000 0.4117
Pm: 0.0000 0.0000 0.5883
Pm: 0.5000 0.5000 0.0883
Pm: 0.5000 0.5000 0.9117

SG ... I4/mmm
Relative energy among the computed polymorphs ... 346 meV per atom
Crystal system ... tetragonal
Total magnetization ... 0.00 μB/cell
Formation energy ... 0.39 eV/atom

=====

The following is a PBE-GGA calculation of an optimized crystal structure of ScIn2Tc, from the Alexandria database.

Cell: 3.4542 4.6541 4.9021 Å, 90.00 90.00 90.00°
Fractional coordinates of all 4 atoms:
Sc: 0.0000 0.0000 0.0000
In: 0.5000 0.0000 0.5195
In: 0.5000 0.5000 0.1448
Tc: 0.0000 0.5000 0.6660

SG ... Pmm2
Relative energy among the computed polymorphs ... 127 meV per atom
Crystal system ... orthorhombic
Total magnetization ... 0.00 μB/cell
Formation energy ... 0.01 eV/atom

=====

The following is a PBE-GGA calculation of an optimized crystal structure of Sr8Ga2Cu, from the Alexandria database.

Cell: 8.7349 8.7349 6.9287 Å, 101.42 101.42 111.37°
Fractional coordinates of all 11 atoms:
Sr: 0.0000 0.0000 0.0000
Sr: 0.0184 0.2851 0.5803
Sr: 0.1545 0.5600 0.1890
Sr: 0.2851 0.0184 0.5803
Sr: 0.4385 0.7015 0.7910
Sr: 0.5600 0.1545 0.1890
Sr: 0.7015 0.4385 0.7910
Sr: 0.7216 0.7216 0.3965
Ga: 0.0523 0.6804 0.7021
Ga: 0.6804 0.0523 0.7021
Cu: 0.3598 0.3598 0.4086

SG ... Cm
Relative energy among the computed polymorphs ... 38 meV per atom
Crystal system ... monoclinic
Total magnetization ... 0.00 μB/cell
Formation energy ... -0.09 eV/atom

=====

The following is a PBE-GGA calculation of an optimized crystal structure of Tb2TlPd5, from the Alexandria database.

Cell: 6.0841 6.0841 8.2075 Å, 90.00 90.00 90.00°
Fractional coordinates of all 16 atoms:
Tb: 0.0000 0.5000 0.0000
Tb: 0.0000 0.5000 0.5000
Tb: 0.5000 0.0000 0.0000
Tb: 0.5000 0.0000 0.5000
Tl: 0.0000 0.0000 0.0000
Tl: 0.5000 0.5000 0.5000
Pd: 0.0000 0.0000 0.5000
Pd: 0.2500 0.2500 0.2500
Pd: 0.2500 0.2500 0.7500
Pd: 0.2500 0.7500 0.2500
Pd: 0.2500 0.7500 0.7500
Pd: 0.5000 0.5000 0.0000
Pd: 0.7500 0.2500 0.2500
Pd: 0.7500 0.2500 0.7500
Pd: 0.7500 0.7500 0.2500
Pd: 0.7500 0.7500 0.7500

SG ... I4/mmm
Crystal system ... tetragonal
Total magnetization ... 0.00 μB/cell
Formation energy ... -0.68 eV/atom

=====

The following is a PBE-GGA calculation of an optimized crystal structure of Ba8SeS6, from the Alexandria database.

Cell: 11.5201 11.5201 4.7225 Å, 90.00 90.00 120.00°
Fractional coordinates of all 15 atoms:
Ba: 0.0345 0.6994 0.2428
Ba: 0.3006 0.3350 0.2428
Ba: 0.3333 0.6667 0.7515
Ba: 0.3350 0.0345 0.7572
Ba: 0.6650 0.9655 0.2428
Ba: 0.6667 0.3333 0.2485
Ba: 0.6994 0.6650 0.7572
Ba: 0.9655 0.3006 0.7572
Se: 0.0000 0.0000 0.0000
S: 0.1315 0.4751 0.2543
S: 0.3437 0.8685 0.2543
S: 0.4751 0.3437 0.7457
S: 0.5249 0.6563 0.2543
S: 0.6563 0.1315 0.7457
S: 0.8685 0.5249 0.7457

SG ... P-3
Crystal system ... trigonal
Total magnetization ... 1.96 μB/cell
Electronic total energy ... -4.601 eV/atom

=====

The following is a PBE-GGA calculation of an optimized crystal structure of Yb3H8, from the Alexandria database.

Cell: 6.2885 6.2884 8.9352 Å, 90.00 90.00 120.00°
Site moments in Bohr magnetons follow the coordinates.
Fractional coordinates of all 33 atoms:
H: 0.3334 0.6668 0.7413  0.00
H: 0.6667 0.3334 0.7413  0.00
H: 0.6666 0.0001 0.1689  0.00
H: 0.6666 0.0000 0.4261  0.00
H: 0.3332 0.3332 0.4261  0.00
H: 0.6666 0.3332 0.2587  0.00
H: 0.6666 0.6666 0.0801  0.00
H: 0.0000 0.3334 0.5740  0.00
H: 0.6668 0.6668 0.8310  0.00
H: 0.3334 0.9999 0.8311  0.00
H: 0.3334 0.3334 0.9199  0.00
H: 0.0000 0.0001 0.7413  0.00
H: 0.3333 0.6666 0.2587  0.00
H: 0.0001 0.6666 0.1688  0.00
H: 0.0000 0.9999 0.2587  0.00
H: 0.0000 0.6667 0.9199  0.00
H: 0.0000 0.3333 0.0801  0.00
H: 0.6667 0.0000 0.9198  0.00
H: 0.3334 0.0000 0.5739  0.00
H: 0.3332 0.3332 0.1690  0.00
H: 0.3333 0.0000 0.0802  0.00
H: 0.6668 0.6668 0.5739  0.00
H: 0.0000 0.6666 0.4260  0.00
H: 0.9999 0.3334 0.8312  0.00
Yb: 0.0002 0.6668 0.6789  -0.24
Yb: 0.3334 0.6669 0.0000  0.14
Yb: 0.3333 0.9999 0.3211  0.24
Yb: 0.6665 0.6666 0.3211  -0.24
Yb: 0.6667 0.0001 0.6789  0.24
Yb: 0.0000 0.0000 0.0000  0.14
Yb: 0.9998 0.3332 0.3211  -0.24
Yb: 0.3335 0.3334 0.6789  -0.24
Yb: 0.6666 0.3331 0.0000  0.14

Total magnetization ... 0.04 μB/cell
Electronic total energy ... -3.326 eV/atom

=====

The following is a PBE-GGA calculation of an optimized crystal structure of SmGaSn2, from the Alexandria database.

Cell: 4.5043 4.5043 9.7276 Å, 90.00 90.00 90.00°
Fractional coordinates of all 8 atoms:
Sm: 0.2500 0.2500 0.2477
Sm: 0.7500 0.7500 0.7523
Ga: 0.2500 0.7500 0.0000
Ga: 0.7500 0.2500 0.0000
Sn: 0.2500 0.2500 0.7990
Sn: 0.2500 0.7500 0.5000
Sn: 0.7500 0.2500 0.5000
Sn: 0.7500 0.7500 0.2010

SG ... P4/nmm
Relative energy among the computed polymorphs ... 43 meV per atom
Crystal system ... tetragonal
Total magnetization ... 0.00 μB/cell
Formation energy ... -0.46 eV/atom

=====

The following is a PBE-GGA calculation of an optimized crystal structure of Er3Ti5O12, from the Alexandria database.

Cell: 10.8523 10.8523 10.8523 Å, 109.47 109.47 109.47°
Fractional coordinates of all 80 atoms:
Er: 0.1250 0.2500 0.3750
Er: 0.1250 0.3750 0.7500
Er: 0.2500 0.3750 0.1250
Er: 0.2500 0.8750 0.6250
Er: 0.3750 0.1250 0.2500
Er: 0.3750 0.7500 0.1250
Er: 0.6250 0.2500 0.8750
Er: 0.6250 0.8750 0.7500
Er: 0.7500 0.1250 0.3750
Er: 0.7500 0.6250 0.8750
Er: 0.8750 0.6250 0.2500
Er: 0.8750 0.7500 0.6250
Ti: 0.0000 0.0000 0.0000
Ti: 0.0000 0.0000 0.5000
Ti: 0.0000 0.5000 0.0000
Ti: 0.0000 0.5000 0.5000
Ti: 0.1250 0.7500 0.8750
Ti: 0.1250 0.8750 0.2500
Ti: 0.2500 0.1250 0.8750
Ti: 0.2500 0.6250 0.3750
Ti: 0.3750 0.2500 0.6250
Ti: 0.3750 0.6250 0.7500
Ti: 0.5000 0.0000 0.0000
Ti: 0.5000 0.0000 0.5000
Ti: 0.5000 0.5000 0.0000
Ti: 0.5000 0.5000 0.5000
Ti: 0.6250 0.3750 0.2500
Ti: 0.6250 0.7500 0.3750
Ti: 0.7500 0.3750 0.6250
Ti: 0.7500 0.8750 0.1250
Ti: 0.8750 0.1250 0.7500
Ti: 0.8750 0.2500 0.1250
O: 0.0332 0.2128 0.1271
O: 0.0332 0.3203 0.9061
O: 0.0858 0.7128 0.6797
O: 0.0858 0.8729 0.4061
O: 0.0939 0.6271 0.4142
O: 0.0939 0.9668 0.6797
O: 0.1271 0.0332 0.2128
O: 0.1271 0.5939 0.9142
O: 0.1797 0.2128 0.5858
O: 0.1797 0.4668 0.5939
O: 0.2128 0.1271 0.0332
O: 0.2128 0.5858 0.1797
O: 0.2872 0.3203 0.9142
O: 0.2872 0.4668 0.3729
O: 0.3203 0.9061 0.0332
O: 0.3203 0.9142 0.2872
O: 0.3729 0.2872 0.4668
O: 0.3729 0.5858 0.9061
O: 0.4061 0.0858 0.8729
O: 0.4061 0.8203 0.5332
O: 0.4142 0.0939 0.6271
O: 0.4142 0.8203 0.7872
O: 0.4668 0.3729 0.2872
O: 0.4668 0.5939 0.1797
O: 0.5332 0.4061 0.8203
O: 0.5332 0.6271 0.7128
O: 0.5858 0.1797 0.2128
O: 0.5858 0.9061 0.3729
O: 0.5939 0.1797 0.4668
O: 0.5939 0.9142 0.1271
O: 0.6271 0.4142 0.0939
O: 0.6271 0.7128 0.5332
O: 0.6797 0.0858 0.7128
O: 0.6797 0.0939 0.9668
O: 0.7128 0.5332 0.6271
O: 0.7128 0.6797 0.0858
O: 0.7872 0.4142 0.8203
O: 0.7872 0.8729 0.9668
O: 0.8203 0.5332 0.4061
O: 0.8203 0.7872 0.4142
O: 0.8729 0.4061 0.0858
O: 0.8729 0.9668 0.7872
O: 0.9061 0.0332 0.3203
O: 0.9061 0.3729 0.5858
O: 0.9142 0.1271 0.5939
O: 0.9142 0.2872 0.3203
O: 0.9668 0.6797 0.0939
O: 0.9668 0.7872 0.8729

SG ... Ia-3d
Crystal system ... cubic
Total magnetization ... 17.13 μB/cell
Electronic total energy ... -8.689 eV/atom